## Dy3ErTh2Bi6 (PBE)

Data for a relaxed Dy3ErTh2Bi6 crystal.

Results
Final energy (eV/atom): -5.46
Space group: C2/m, No. 12

Lattice parameters (Å, degrees): 10.089 10.089 9.018 102.85 102.85 25.91
Element x y z (fractional)
Dy  0.000  0.000  0.000
Dy  0.332  0.332  0.665
Dy  0.668  0.668  0.335
Er  0.000  0.000  0.500
Th  0.335  0.335  0.169
Th  0.665  0.665  0.831
Bi  0.165  0.165  0.089
Bi  0.165  0.165  0.576
Bi  0.497  0.497  0.747
Bi  0.503  0.503  0.253
Bi  0.835  0.835  0.424
Bi  0.835  0.835  0.911